This record from Alexandria describes a relaxed structure of CaMg2NbO. The functional is PBE-GGA.

Results
- total DFT energy (no corrections) (eV per atom) = -3.55
- crystal system = tetragonal

Cell: 5.7596 5.7596 3.9678 Å, 90.00 90.00 90.00°
Closest atoms and distances in Å follow each position.
Fractional coordinates of all 5 atoms:
1 Ca 0.0000 0.0000 0.0000  2 O 1.98
2 Mg 0.0000 0.5000 0.0000  2 Ca 2.88
3 Mg 0.5000 0.0000 0.0000  2 Ca 2.88
4 Nb 0.5000 0.5000 0.5000  8 Mg 3.50
5 O 0.0000 0.0000 0.5000  2 Ca 1.98

---

This record from Alexandria describes a relaxed structure of CaMg2NbOs. The functional is PBE-GGA.

Results
- ΔE_f (eV per atom) = 2.2720
- crystal system = tetragonal

Cell: 4.8017 4.8017 4.6437 Å, 90.00 90.00 90.00°
Closest atoms and distances in Å follow each position.
Fractional coordinates of all 5 atoms:
1 Ca 0.0000 0.0000 0.0000  2 Nb 2.32, 4 Mg 2.40
2 Mg 0.0000 0.5000 0.0000  2 Ca 2.40
3 Mg 0.5000 0.0000 0.0000  2 Ca 2.40
4 Nb 0.0000 0.0000 0.5000  2 Ca 2.32
5 Os 0.5000 0.5000 0.5000  8 Mg 3.34, 4 Nb 3.40

---

This record from Alexandria describes a relaxed structure of CaMgNb2Pb. The functional is PBE-GGA.

Results
- ΔE_f (eV per atom) = 1.3191
- crystal system = tetragonal

Cell: 5.3235 5.3235 5.6674 Å, 90.00 90.00 90.00°
Closest atoms and distances in Å follow each position.
Fractional coordinates of all 5 atoms:
1 Ca 0.0000 0.0000 0.0000  2 Pb 2.83
2 Mg 0.5000 0.5000 0.0000  4 Ca 3.76, 8 Nb 3.89
3 Nb 0.0000 0.5000 0.5000  2 Pb 2.66
4 Nb 0.5000 0.0000 0.5000  2 Pb 2.66
5 Pb 0.0000 0.0000 0.5000  4 Nb 2.66, 2 Ca 2.83

---

This record from Alexandria describes a relaxed structure of Ca2MgNbPt. The functional is PBE-GGA.

Results
- ΔE_f (eV per atom) = 0.5968
- crystal system = tetragonal

Cell: 5.6081 5.6081 4.8703 Å, 90.00 90.00 90.00°
Closest atoms and distances in Å follow each position.
Fractional coordinates of all 5 atoms:
1 Ca 0.0000 0.5000 0.0000  2 Nb 2.80
2 Ca 0.5000 0.0000 0.0000  2 Nb 2.80
3 Mg 0.0000 0.0000 0.5000  8 Ca 3.71, 4 Pt 3.97
4 Nb 0.5000 0.5000 0.0000  2 Pt 2.44
5 Pt 0.5000 0.5000 0.5000  2 Nb 2.44

---

This record from Alexandria describes a relaxed structure of CaMgNbSb2. The functional is PBE-GGA.

Results
- total DFT energy (no corrections) (eV per atom) = -4.37
- crystal system = tetragonal

Cell: 5.3754 5.3754 5.2435 Å, 90.00 90.00 90.00°
Closest atoms and distances in Å follow each position.
Fractional coordinates of all 5 atoms:
1 Ca 0.0000 0.0000 0.0000  8 Sb 3.75, 4 Mg 3.80
2 Mg 0.5000 0.5000 0.0000  2 Nb 2.62
3 Nb 0.5000 0.5000 0.5000  2 Mg 2.62, 4 Sb 2.69
4 Sb 0.0000 0.5000 0.5000  2 Nb 2.69
5 Sb 0.5000 0.0000 0.5000  2 Nb 2.69

---

This record from Alexandria describes a relaxed structure of CaMgNb2Se. The functional is PBE-GGA.

Results
- total DFT energy (no corrections) (eV per atom) = -4.15
- crystal system = tetragonal

Cell: 4.8812 4.8812 5.5531 Å, 90.00 90.00 90.00°
Closest atoms and distances in Å follow each position.
Fractional coordinates of all 5 atoms:
1 Ca 0.0000 0.0000 0.0000  2 Mg 2.78
2 Mg 0.0000 0.0000 0.5000  4 Nb 2.44
3 Nb 0.0000 0.5000 0.5000  2 Mg 2.44
4 Nb 0.5000 0.0000 0.5000  2 Mg 2.44
5 Se 0.5000 0.5000 0.0000  4 Ca 3.45, 8 Nb 3.70

---

This record from Alexandria describes a relaxed structure of CaMg2TiNb. The functional is PBE-GGA.

Results
- ΔE_f (eV per atom) = 0.6722
- crystal system = tetragonal

Cell: 5.4014 5.4014 4.6232 Å, 90.00 90.00 90.00°
Closest atoms and distances in Å follow each position.
Fractional coordinates of all 5 atoms:
1 Ca 0.0000 0.0000 0.0000  8 Mg 3.55, 4 Nb 3.82
2 Mg 0.0000 0.5000 0.5000  2 Ti 2.70
3 Mg 0.5000 0.0000 0.5000  2 Ti 2.70
4 Ti 0.5000 0.5000 0.5000  2 Nb 2.31
5 Nb 0.5000 0.5000 0.0000  2 Ti 2.31

---

This record from Alexandria describes a relaxed structure of CaMgTi2Nb. The functional is PBE-GGA.

Results
- ΔE_f (eV per atom) = 0.5757
- crystal system = tetragonal

Cell: 4.7861 4.7861 5.5268 Å, 90.00 90.00 90.00°
Closest atoms and distances in Å follow each position.
Fractional coordinates of all 5 atoms:
1 Ca 0.0000 0.0000 0.0000  4 Mg 3.38, 8 Ti 3.66
2 Mg 0.5000 0.5000 0.0000  2 Nb 2.76
3 Ti 0.0000 0.5000 0.5000  2 Nb 2.39
4 Ti 0.5000 0.0000 0.5000  2 Nb 2.39
5 Nb 0.5000 0.5000 0.5000  4 Ti 2.39